Entry 1:
First-principles (PBE) data for a relaxed structure of K2Pr2HfSe6, as listed in the Alexandria database.

Unit cell a=7.328 b=12.498 c=8.233 alpha=90.00 beta=107.71 gamma=90.00
Space group C2/m (No. 12)
Inequivalent atoms, fractional coordinates:
K  0.000  0.172  0.000 (multiplicity 4)
Pr  0.000  0.333  0.500 (multiplicity 4)
Hf  0.000  0.000  0.500 (multiplicity 2)
Se  0.223  0.153  0.702 (multiplicity 8)
Se  0.233  0.000  0.300 (multiplicity 4)

spin magnetization = 0.0 μB/f.u.
energy = -5.4955 eV/atom
crystal system = monoclinic
ΔE_f (raw) = -1.62 eV/atom

Entry 2:
First-principles (PBE) data for a relaxed structure of K3Pr3HfSe8, as listed in the Alexandria database.

Unit cell a=8.5199 b=8.5199 c=23.5557 alpha=90.00 beta=90.00 gamma=120.00
Space group R-3m (No. 166, hexagonal axes)
Inequivalent atoms, fractional coordinates:
K  0.0000  0.5000  0.0000 (multiplicity 9)
Pr  0.0000  0.5000  0.5000 (multiplicity 9)
Hf  0.0000  0.0000  0.5000 (multiplicity 3)
Se  0.0000  0.0000  0.2378 (multiplicity 6)
Se  0.0283  0.5141  0.2326 (multiplicity 18)

spin magnetization = 0.0 μB/f.u.
energy = -5.3547 eV/atom
crystal system = trigonal
ΔE_f (raw) = -1.66 eV/atom

Entry 3:
First-principles (PBE) data for a relaxed structure of K4Pr3HfSe8, as listed in the Alexandria database.

Unit cell a=8.5102 b=8.5102 c=23.1995 alpha=90.00 beta=90.00 gamma=120.00
Space group R-3m (No. 166, hexagonal axes)
Inequivalent atoms, fractional coordinates:
K  0.0000  0.0000  0.0000 (multiplicity 3)
K  0.0000  0.5000  0.0000 (multiplicity 9)
Pr  0.0000  0.5000  0.5000 (multiplicity 9)
Hf  0.0000  0.0000  0.5000 (multiplicity 3)
Se  0.0000  0.0000  0.2399 (multiplicity 6)
Se  0.0259  0.5129  0.2351 (multiplicity 18)

spin magnetization = 0.0 μB/f.u.
energy = -5.1405 eV/atom
crystal system = trigonal
ΔE_f (raw) = -1.61 eV/atom

Entry 4:
First-principles (PBE) data for a relaxed structure of K2Pr2HfTe6, as listed in the Alexandria database.

Unit cell a=7.769 b=13.300 c=8.836 alpha=90.00 beta=107.94 gamma=90.00
Space group C2/m (No. 12)
Inequivalent atoms, fractional coordinates:
K  0.000  0.174  0.000 (multiplicity 4)
Pr  0.000  0.332  0.500 (multiplicity 4)
Hf  0.000  0.000  0.500 (multiplicity 2)
Te  0.228  0.153  0.708 (multiplicity 8)
Te  0.234  0.000  0.295 (multiplicity 4)

spin magnetization = 0.0 μB/f.u.
energy = -4.9117 eV/atom
crystal system = monoclinic
ΔE_f (raw) = -1.22 eV/atom

Entry 5:
First-principles (PBE) data for a relaxed structure of K2PrHfTe4, as listed in the Alexandria database.

Unit cell a=7.676 b=4.371 c=8.693 alpha=90.00 beta=106.61 gamma=90.00
Space group P2/m (No. 10)
Inequivalent atoms, fractional coordinates:
K  0.000  0.000  0.000 (multiplicity 1)
K  0.500  0.500  0.000 (multiplicity 1)
Pr  0.000  0.500  0.500 (multiplicity 1)
Hf  0.500  0.000  0.500 (multiplicity 1)
Te  0.261  0.000  0.714 (multiplicity 2)
Te  0.287  0.500  0.298 (multiplicity 2)

spin magnetization = 0.0 μB/f.u.
energy = -4.8032 eV/atom
crystal system = monoclinic
ΔE_f (raw) = -1.12 eV/atom

Entry 6:
First-principles (PBE) data for a relaxed structure of K3Pr3HfTe8, as listed in the Alexandria database.

Unit cell a=9.0445 b=9.0445 c=25.3532 alpha=90.00 beta=90.00 gamma=120.00
Space group R-3m (No. 166, hexagonal axes)
Inequivalent atoms, fractional coordinates:
K  0.0000  0.5000  0.0000 (multiplicity 9)
Pr  0.0000  0.5000  0.5000 (multiplicity 9)
Hf  0.0000  0.0000  0.5000 (multiplicity 3)
Te  0.0000  0.0000  0.2392 (multiplicity 6)
Te  0.0258  0.5129  0.2341 (multiplicity 18)

spin magnetization = 0.0 μB/f.u.
energy = -4.7901 eV/atom
crystal system = trigonal
ΔE_f (raw) = -1.28 eV/atom

Entry 7:
First-principles (PBE) data for a relaxed structure of KHfPt3, as listed in the Alexandria database.

Unit cell a=5.066 b=5.066 c=5.066 alpha=90.00 beta=90.00 gamma=90.00
Space group Pm-3m (No. 221)
Inequivalent atoms, fractional coordinates:
K  0.000  0.000  0.000 (multiplicity 1)
Hf  0.500  0.500  0.500 (multiplicity 1)
Pt  0.000  0.500  0.500 (multiplicity 3)

spin magnetization = 0.0 μB/f.u.
energy = -5.6554 eV/atom
crystal system = cubic
offset from the most stable computed form = 0 meV/atom

Entry 8:
First-principles (PBE) data for a relaxed structure of KHfPt3, as listed in the Alexandria database.

Unit cell a=4.832 b=4.832 c=4.832 alpha=90.00 beta=90.00 gamma=90.00
Space group Pm-3m (No. 221)
Inequivalent atoms, fractional coordinates:
K  0.000  0.000  0.000 (multiplicity 1)
Hf  0.500  0.500  0.500 (multiplicity 1)
Pt  0.000  0.000  0.500 (multiplicity 3)

spin magnetization = 0.0 μB/f.u.
energy = -4.1236 eV/atom
crystal system = cubic
offset from the most stable computed form = 1532 meV/atom

Entry 9:
First-principles (PBE) data for a relaxed structure of K4HfPt2, as listed in the Alexandria database.

Unit cell a=6.326 b=6.326 c=15.869 alpha=90.00 beta=90.00 gamma=90.00
Space group I4/mmm (No. 139)
Inequivalent atoms, fractional coordinates:
K  0.000  0.000  0.229 (multiplicity 4)
K  0.000  0.500  0.000 (multiplicity 4)
Hf  0.000  0.000  0.000 (multiplicity 2)
Pt  0.000  0.000  0.420 (multiplicity 4)

spin magnetization = 2.0 μB/f.u.
energy = -2.7160 eV/atom
crystal system = tetragonal

Entry 10:
First-principles (PBE) data for a relaxed structure of KHf3Pt, as listed in the Alexandria database.

Unit cell a=4.735 b=4.735 c=4.735 alpha=90.00 beta=90.00 gamma=90.00
Space group Pm-3m (No. 221)
Inequivalent atoms, fractional coordinates:
K  0.000  0.000  0.000 (multiplicity 1)
Hf  0.000  0.000  0.500 (multiplicity 3)
Pt  0.500  0.500  0.500 (multiplicity 1)

spin magnetization = 0.0 μB/f.u.
energy = -5.3492 eV/atom
crystal system = cubic
offset from the most stable computed form = 1592 meV/atom

Entry 11:
First-principles (PBE) data for a relaxed structure of K2HfPt, as listed in the Alexandria database.

Unit cell a=11.987 b=11.987 c=4.979 alpha=90.00 beta=90.00 gamma=90.00
Space group I-42d (No. 122)
Inequivalent atoms, fractional coordinates:
K  0.105  0.250  0.125 (multiplicity 8)
Hf  0.000  0.000  0.500 (multiplicity 4)
Pt  0.000  0.000  0.000 (multiplicity 4)

spin magnetization = 0.0 μB/f.u.
energy = -4.0402 eV/atom
crystal system = tetragonal
offset from the most stable computed form = 0 meV/atom

Entry 12:
First-principles (PBE) data for a relaxed structure of K2HfPt, as listed in the Alexandria database.

Unit cell a=7.761 b=7.761 c=7.761 alpha=90.00 beta=90.00 gamma=90.00
Space group Fm-3m (No. 225)
Inequivalent atoms, fractional coordinates:
K  0.250  0.250  0.250 (multiplicity 8)
Hf  0.000  0.000  0.000 (multiplicity 4)
Pt  0.000  0.000  0.500 (multiplicity 4)

spin magnetization = 2.1 μB/f.u.
energy = -3.3152 eV/atom
crystal system = cubic
offset from the most stable computed form = 725 meV/atom